1.
Density functional theory data (PBE) for a relaxed Pm12In3C5 crystal.

Calculated values
DOS at the Fermi energy   50.33 states/eV/cell
Volume   27.70 Å³ per atom
Symmetry   Ia-3d (230)
ΔE_f   -1.29 eV/f.u.
Density   6.43 g/cm³

POSCAR file:
```
Pm12In3C5
1.0
-8.2130 8.2130 8.2130
8.2130 -8.2130 8.2130
8.2130 8.2130 -8.2130
Pm In C
48 12 20
Cartesian
2.4302 -0.5686 0.8624
9.8893 4.9689 -4.6751
10.6433 0.5686 0.8624
9.8893 -3.2441 4.6751
7.6444 -0.8624 2.4302
12.8881 -1.6763 3.2441
0.8624 2.4302 -0.5686
11.4571 3.5379 -1.6763
4.9689 4.6751 -1.6763
7.3506 2.4302 0.5686
-0.5686 0.8624 2.4302
4.6751 -1.6763 4.9689
7.6444 7.3506 -2.4302
4.6751 1.6763 3.2441
4.9689 -4.6751 9.8893
7.3506 -2.4302 7.6444
3.2441 4.6751 1.6763
9.0754 5.7828 0.5686
4.6751 9.8893 -3.2441
7.6444 0.8624 5.7828
2.4302 7.6444 -0.8624
9.8893 3.2441 3.5379
1.6763 3.2441 4.6751
2.4302 0.5686 7.3506
5.7828 7.6444 0.8624
6.5367 4.9689 3.5379
-1.6763 4.9689 4.6751
5.7828 0.5686 9.0754
0.5686 7.3506 2.4302
3.5379 -1.6763 11.4571
-0.8624 2.4302 7.6444
4.9689 3.5379 6.5367
0.8624 10.6433 0.5686
3.2441 12.8881 -1.6763
3.5379 6.5367 4.9689
0.5686 0.8624 10.6433
3.5379 9.8893 3.2441
8.7816 7.3506 5.7828
0.8624 5.7828 7.6444
3.2441 3.5379 9.8893
-3.2441 4.6751 9.8893
7.3506 5.7828 8.7816
-4.6751 9.8893 4.9689
0.5686 9.0754 5.7828
-1.6763 11.4571 3.5379
-2.4302 7.6444 7.3506
-1.6763 3.2441 12.8881
5.7828 8.7816 7.3506
4.1065 2.0533 0.0000
8.2130 4.1065 -2.0533
2.0533 0.0000 4.1065
10.2663 0.0000 4.1065
0.0000 4.1065 2.0533
4.1065 -2.0533 8.2130
4.1065 10.2663 0.0000
8.2130 4.1065 6.1598
-2.0533 8.2130 4.1065
6.1598 8.2130 4.1065
0.0000 4.1065 10.2663
4.1065 6.1598 8.2130
0.0000 0.0000 0.0000
4.1065 4.1065 -4.1065
4.1065 -4.1065 4.1065
8.2130 0.0000 0.0000
12.3195 2.0533 0.0000
8.2130 -4.1065 6.1598
6.1598 8.2130 -4.1065
6.1598 0.0000 4.1065
4.1065 6.1598 0.0000
8.2130 4.1065 2.0533
-4.1065 4.1065 4.1065
0.0000 8.2130 0.0000
0.0000 0.0000 8.2130
4.1065 4.1065 4.1065
0.0000 4.1065 6.1598
4.1065 2.0533 8.2130
2.0533 8.2130 4.1065
2.0533 0.0000 12.3195
0.0000 12.3195 2.0533
-4.1065 6.1598 8.2130
```

2.
Density functional theory data (PBE) for a relaxed ThBi2PdN crystal.

Calculated values
DOS at the Fermi energy   5.31 states/eV/cell
Volume   25.84 Å³ per atom
Symmetry   P4/nmm (129)
Uncorrected formation energy   -0.766 eV per atom
Density   9.90 g/cm³

POSCAR file:
```
ThBi2PdN
1.0
3.9939 0.0000 0.0000
0.0000 3.9939 0.0000
0.0000 0.0000 16.1975
Th Bi Pd N
2 4 2 2
Cartesian
0.9985 0.9985 1.1849
2.9954 2.9954 15.0126
0.9985 0.9985 6.9630
0.9985 0.9985 12.5579
2.9954 2.9954 3.6395
2.9954 2.9954 9.2344
0.9985 0.9985 9.8035
2.9954 2.9954 6.3939
0.9985 2.9954 0.0000
2.9954 0.9985 0.0000
```